Entry from Alexandria via LeMat-Bulk: a relaxed structure of CaInB2S (PBE).

Cell: 5.0148 5.0148 5.1654 Å, 90.00 90.00 90.00°
Space group P4/mmm (No. 123)
Inequivalent atoms, fractional coordinates:
1 Ca 0.0000 0.0000 0.0000
2 In 0.5000 0.5000 0.5000
3 B 0.0000 0.5000 0.0000
4 S 0.0000 0.0000 0.5000

Results
Formation energy from raw total energies   1.502 eV/atom

=====

Entry from Alexandria via LeMat-Bulk: a relaxed structure of LiLaNi2 (PBE).

Cell: 4.4865 4.4865 15.6198 Å, 90.00 90.00 90.00°
Space group I-42d (No. 122)
Inequivalent atoms, fractional coordinates:
1 Li 0.0000 0.0000 0.0000
2 La 0.0000 0.0000 0.5000
3 Ni 0.0526 0.2500 0.1250

Results
Energy relative to the lowest polymorph listed for this composition   207 meV per atom
Energy relative to the elements   0.2 eV per formula unit

=====

Entry from Alexandria via LeMat-Bulk: a relaxed structure of Ti6FeOs5 (PBE).

Cell: 4.3575 6.1407 13.0549 Å, 90.00 90.00 90.00°
Space group Immm (No. 71)
Inequivalent atoms, fractional coordinates:
1 Ti 0.0000 0.2459 0.0000
2 Ti 0.0000 0.2522 0.3350
3 Fe 0.0000 0.5000 0.5000
4 Os 0.0000 0.0000 0.1661
5 Os 0.0000 0.0000 0.5000
6 Os 0.0000 0.5000 0.1664

Results
Energy relative to the elements   -7.9 eV per formula unit

=====

no.,total energy (eV per atom)
1,-2.9420
2,-4.5456
3,-9.9867